## A
Material: CoSiBr2
Method: DFT, GGA-PBE
State: optimized geometry

The structure in POSCAR format:
```
CoSiBr2
1.0
2.4712 7.0543 4.6448
2.8577 4.4611 7.0268
5.4297 5.1065 4.6782
Si Co Br
1 1 2
direct
0.0000 0.0000 0.0000
0.5000 0.5000 0.5000
0.8926 0.8926 0.8926
0.1074 0.1074 0.1074
```

Computed properties:
Magnetic moment, μB per cell: 2.40
V, Å³/cell: 93



## B
Material: CoSiBr2
Method: DFT, GGA-PBE
State: optimized geometry

The structure in POSCAR format:
```
CoSiBr2
1.0
-4.3456 -1.4346 -6.7934
0.2357 -3.2698 -7.5064
1.1544 0.2329 8.1059
Br Co Si
2 1 1
direct
0.8832 0.8832 0.0000
0.6168 0.6168 0.0000
0.7500 0.2500 0.5000
0.2500 0.7500 0.5000
```

Computed properties:
Magnetic moment, μB per cell: 1.63
V, Å³/cell: 97



Which one sits at the top of the stability order? B does.



## A
Material: CoSiBr2
Method: DFT, GGA-PBE
State: optimized geometry

The structure in POSCAR format:
```
CoSiBr2
1.0
0.0000 3.3816 3.3816
3.3816 0.0000 3.3816
3.3816 3.3816 0.0000
Si Co Br
1 1 2
direct
0.0000 0.0000 0.0000
0.5000 0.5000 0.5000
0.2500 0.2500 0.2500
0.7500 0.7500 0.7500
```

Computed properties:
Magnetic moment, μB per cell: 1.50
V, Å³/cell: 77



## B
Material: CoSiBr2
Method: DFT, GGA-PBE
State: optimized geometry

The structure in POSCAR format:
```
CoSiBr2
1.0
-0.1106 -1.6924 -2.9222
6.0943 0.9216 -0.7644
0.7957 -3.5712 2.0382
Br Co Si
2 1 1
direct
0.0000 0.0000 0.0000
0.5000 0.5000 0.0000
0.5000 0.0000 0.5000
0.0000 0.5000 0.5000
```

Computed properties:
Magnetic moment, μB per cell: 1.70
V, Å³/cell: 88



Which one sits at the top of the stability order? B does.



## A
Material: CoSiBr2
Method: DFT, GGA-PBE
State: optimized geometry

The structure in POSCAR format:
```
CoSiBr2
1.0
6.3221 -0.1588 -0.0261
5.2117 3.5821 -0.0261
0.0399 0.0119 4.8567
Br Co Si
2 1 1
direct
0.9874 0.9874 0.2518
0.6860 0.6860 0.7493
0.6220 0.6220 0.2504
0.2047 0.2047 0.2485
```

Computed properties:
Magnetic moment, μB per cell: 1.11
V, Å³/cell: 114



## B
Material: CoSiBr2
Method: DFT, GGA-PBE
State: optimized geometry

The structure in POSCAR format:
```
CoSiBr2
1.0
-5.0528 3.4215 -3.1485
-6.7786 0.4837 0.9835
6.3022 0.1281 2.7232
Br Co Si
2 1 1
direct
0.0000 0.0000 0.0000
0.2500 0.7500 0.5000
0.5000 0.5000 0.0000
0.7500 0.2500 0.5000
```

Computed properties:
Magnetic moment, μB per cell: 1.36
V, Å³/cell: 91



Which one sits at the top of the stability order? A does.



## A
Material: CoSiBr2
Method: DFT, GGA-PBE
State: optimized geometry

The structure in POSCAR format:
```
CoSiBr2
1.0
-2.8655 -1.9973 0.5961
3.2135 -1.3233 -0.6911
1.7900 -0.0536 8.4255
Br Co Si
2 1 1
direct
0.0000 0.0000 0.0417
0.0000 0.0000 0.4583
0.5000 0.5000 0.2500
0.5000 0.5000 0.7500
```

Computed properties:
Magnetic moment, μB per cell: 1.99
V, Å³/cell: 90



## B
Material: CoSiBr2
Method: DFT, GGA-PBE
State: optimized geometry

The structure in POSCAR format:
```
CoSiBr2
1.0
3.3510 0.0000 0.0000
0.0000 4.7983 0.0000
0.0000 0.0000 4.7983
Br Co Si
2 1 1
direct
0.0000 0.0000 0.0000
0.0000 0.5000 0.5000
0.5000 0.5000 0.0000
0.5000 0.0000 0.5000
```

Computed properties:
Magnetic moment, μB per cell: 1.62
V, Å³/cell: 77



Which one sits at the top of the stability order? A does.



## A
Material: CoSiBr2
Method: DFT, GGA-PBE
State: optimized geometry

The structure in POSCAR format:
```
CoSiBr2
1.0
-2.3034 -1.3527 -1.8723
0.9371 -2.9646 0.9866
-5.7529 0.4328 6.7649
Br Co Si
2 1 1
direct
0.0000 0.0000 0.9246
0.5000 0.5000 0.3313
0.0000 0.0000 0.6622
0.5000 0.5000 0.5818
```

Computed properties:
Magnetic moment, μB per cell: 1.97
V, Å³/cell: 95



## B
Material: CoSiBr2
Method: DFT, GGA-PBE
State: optimized geometry

The structure in POSCAR format:
```
CoSiBr2
1.0
8.7520 0.0117 0.0070
8.0701 3.3868 0.0070
8.0701 1.6304 2.9685
Br Co Si
2 1 1
direct
0.0214 0.0214 0.0214
0.4786 0.4786 0.4786
0.7500 0.7500 0.7500
0.2500 0.2500 0.2500
```

Computed properties:
Magnetic moment, μB per cell: 2.41
V, Å³/cell: 88



## C
Material: CoSiBr2
Method: DFT, GGA-PBE
State: optimized geometry

The structure in POSCAR format:
```
CoSiBr2
1.0
8.1809 -0.0921 -0.2262
-4.7103 4.0720 0.1201
-1.2397 1.1512 2.8255
Br Co Si
2 1 1
direct
0.0000 0.0000 0.0000
0.5000 0.0000 0.5000
0.0000 0.5000 0.5000
0.5000 0.5000 0.0000
```

Computed properties:
Magnetic moment, μB per cell: 1.96
V, Å³/cell: 92



## D
Material: CoSiBr2
Method: DFT, GGA-PBE
State: optimized geometry

The structure in POSCAR format:
```
CoSiBr2
1.0
3.7612 0.0000 0.0000
0.0000 3.3537 -0.1448
0.0000 -3.3853 7.3197
Br Co Si
2 1 1
direct
0.0000 0.1795 0.0331
0.0000 0.3205 0.4669
0.5000 0.2500 0.2500
0.5000 0.7500 0.7500
```

Computed properties:
Magnetic moment, μB per cell: 1.89
V, Å³/cell: 90



Which one sits at the top of the stability order? A does.



## A
Material: Sm2CoBr
Method: DFT, GGA-PBE
State: optimized geometry

The structure in POSCAR format:
```
Sm2CoBr
1.0
-0.3756 -1.7526 -2.9100
-0.5743 -2.8528 1.7923
-8.0171 1.6425 0.0456
Co Br Sm
1 1 2
direct
0.5000 0.5000 0.0000
0.5000 0.5000 0.5000
0.0000 0.0000 0.7936
0.0000 0.0000 0.2064
```

Computed properties:
Magnetic moment, μB per cell: 0.53
V, Å³/cell: 96



## B
Material: Sm2CoBr
Method: DFT, GGA-PBE
State: optimized geometry

The structure in POSCAR format:
```
Sm2CoBr
1.0
3.9140 0.0104 -0.4809
-1.9372 3.4020 0.4811
-1.0211 -1.6864 7.8114
Sm Co Br
2 1 1
direct
0.4846 0.9838 0.2431
0.5625 0.5227 0.8599
0.0235 0.2532 0.0515
0.0221 0.7515 0.5515
```

Computed properties:
Magnetic moment, μB per cell: 0.00
V, Å³/cell: 104



Which one sits at the top of the stability order? B does.



## A
Material: Sm4Co2Br5
Method: DFT, GGA-PBE
State: optimized geometry

The structure in POSCAR format:
```
Sm4Co2Br5
1.0
3.9441 0.0000 -0.8971
-0.7643 7.5545 -3.3606
0.3245 0.1607 10.5458
Sm Co Br
4 2 5
direct
0.6807 0.6807 0.3614
0.0000 0.2881 0.0000
0.3193 0.3193 0.6386
0.0000 0.7119 0.0000
0.5556 0.5556 0.1112
0.4444 0.4444 0.8888
0.1695 0.4009 0.3390
0.8305 0.5991 0.6610
0.1695 0.9381 0.3390
0.5000 0.0000 0.0000
0.8305 0.0619 0.6610
```

Computed properties:
Magnetic moment, μB per cell: 0.00
V, Å³/cell: 319



## B
Material: Sm4Co2Br5
Method: DFT, GGA-PBE
State: optimized geometry

The structure in POSCAR format:
```
Sm4Co2Br5
1.0
4.0101 0.0000 0.0000
0.0000 8.2485 0.7705
-2.0050 -1.5270 11.0933
Sm Co Br
4 2 5
direct
0.6569 0.5555 0.3138
0.0218 0.7115 0.0436
0.3431 0.4445 0.6862
0.9782 0.2885 0.9564
0.5482 0.4963 0.0965
0.4518 0.5037 0.9035
0.1528 0.8187 0.3056
0.8472 0.1813 0.6944
0.2026 0.3317 0.4052
0.5000 0.0000 0.0000
0.7974 0.6683 0.5948
```

Computed properties:
Magnetic moment, μB per cell: 0.03
V, Å³/cell: 372



Which one sits at the top of the stability order? B does.



## A
Material: CoSn2Br
Method: DFT, GGA-PBE
State: optimized geometry

The structure in POSCAR format:
```
CoSn2Br
1.0
6.3855 0.0000 0.0000
0.0000 6.3855 0.0000
3.1927 3.1927 6.0350
Co Sn Br
2 4 2
direct
0.5000 0.5000 0.0000
0.2500 0.7500 0.5000
0.5285 0.1250 0.2500
0.2215 0.6250 0.2500
0.3750 0.4715 0.7500
0.8750 0.7785 0.7500
0.0000 0.0000 0.0000
0.7500 0.2500 0.5000
```

Computed properties:
Magnetic moment, μB per cell: 0.00
V, Å³/cell: 246



## B
Material: CoSn2Br
Method: DFT, GGA-PBE
State: optimized geometry

The structure in POSCAR format:
```
CoSn2Br
1.0
0.0000 3.5723 3.5723
3.5723 0.0000 3.5723
3.5723 3.5723 0.0000
Co Sn Br
1 2 1
direct
0.0000 0.0000 0.0000
0.2500 0.2500 0.2500
0.7500 0.7500 0.7500
0.5000 0.5000 0.5000
```

Computed properties:
Magnetic moment, μB per cell: 1.24
V, Å³/cell: 91



Which one sits at the top of the stability order? A does.



## A
Material: SrCoBr2
Method: DFT, GGA-PBE
State: optimized geometry

The structure in POSCAR format:
```
SrCoBr2
1.0
-5.1271 1.6027 3.6607
-4.4268 -4.2074 2.2265
6.4236 0.8867 -0.4553
Br Co Sr
2 1 1
direct
0.0000 0.0000 0.0000
0.2500 0.7500 0.5000
0.5000 0.5000 0.0000
0.7500 0.2500 0.5000
```

Computed properties:
Magnetic moment, μB per cell: 1.61
V, Å³/cell: 105



## B
Material: SrCoBr2
Method: DFT, GGA-PBE
State: optimized geometry

The structure in POSCAR format:
```
SrCoBr2
1.0
-2.2701 -2.9399 2.0497
2.3503 -3.0533 -1.7751
3.9132 0.2685 4.7192
Br Co Sr
2 1 1
direct
0.0000 0.0000 0.8947
0.5000 0.5000 0.3083
0.0000 0.0000 0.5122
0.5000 0.5000 0.7848
```

Computed properties:
Magnetic moment, μB per cell: 1.16
V, Å³/cell: 110



Which one sits at the top of the stability order? B does.



## A
Material: SrCoBr2
Method: DFT, GGA-PBE
State: optimized geometry

The structure in POSCAR format:
```
SrCoBr2
1.0
2.3329 0.0000 8.6675
-1.1664 2.0203 8.6675
-1.1664 -2.0203 8.6675
Sr Co Br
1 1 2
direct
0.0000 0.0000 0.0000
0.5000 0.5000 0.5000
0.8838 0.8838 0.8838
0.1162 0.1162 0.1162
```

Computed properties:
Magnetic moment, μB per cell: 2.60
V, Å³/cell: 123



## B
Material: SrCoBr2
Method: DFT, GGA-PBE
State: optimized geometry

The structure in POSCAR format:
```
SrCoBr2
1.0
5.3035 -0.0014 -0.0028
-2.4938 5.1079 0.4654
0.3158 2.3599 4.7943
Br Co Sr
2 1 1
direct
0.0000 0.0000 0.0000
0.5000 0.0000 0.5000
0.0000 0.5000 0.5000
0.5000 0.5000 0.0000
```

Computed properties:
Magnetic moment, μB per cell: 1.62
V, Å³/cell: 124



## C
Material: SrCoBr2
Method: DFT, GGA-PBE
State: optimized geometry

The structure in POSCAR format:
```
SrCoBr2
1.0
-1.8678 -7.9797 -1.0322
3.0469 -6.9395 -3.2848
0.4994 6.8367 4.6087
Br Co Sr
2 1 1
direct
0.9785 0.9785 0.0000
0.7250 0.2250 0.5000
0.4764 0.4764 0.0000
0.3202 0.8202 0.5000
```

Computed properties:
Magnetic moment, μB per cell: 1.40
V, Å³/cell: 118



Which one sits at the top of the stability order? C does.



## A
Material: SrCoBr2
Method: DFT, GGA-PBE
State: optimized geometry

The structure in POSCAR format:
```
SrCoBr2
1.0
-1.9295 -0.2213 5.4595
-5.5984 -1.4954 0.0034
5.1798 -1.9862 -1.6743
Br Co Sr
2 1 1
direct
0.9240 0.9240 0.0000
0.5760 0.5760 0.0000
0.7500 0.2500 0.5000
0.2500 0.7500 0.5000
```

Computed properties:
Magnetic moment, μB per cell: 1.04
V, Å³/cell: 100



## B
Material: SrCoBr2
Method: DFT, GGA-PBE
State: optimized geometry

The structure in POSCAR format:
```
SrCoBr2
1.0
-4.7778 -2.4068 0.7935
-1.1931 -4.5742 -2.6272
-0.2552 -4.6802 2.6981
Br Co Sr
2 1 1
direct
0.0000 0.0000 0.0000
0.2500 0.2500 0.2500
0.5000 0.5000 0.5000
0.7500 0.7500 0.7500
```

Computed properties:
Magnetic moment, μB per cell: 2.88
V, Å³/cell: 112



## C
Material: SrCoBr2
Method: DFT, GGA-PBE
State: optimized geometry

The structure in POSCAR format:
```
SrCoBr2
1.0
-4.0148 3.4476 -0.1542
-0.3116 3.5259 -3.9369
-3.7625 -0.4817 -3.6933
Sr Co Br
1 1 2
direct
0.5000 0.5000 0.5000
0.0000 0.0000 0.0000
0.2500 0.2500 0.2500
0.7500 0.7500 0.7500
```

Computed properties:
Magnetic moment, μB per cell: 2.87
V, Å³/cell: 105



Which one sits at the top of the stability order? A does.



## A
Material: SrCoBr2
Method: DFT, GGA-PBE
State: optimized geometry

The structure in POSCAR format:
```
SrCoBr2
1.0
5.9698 -0.0048 -0.2540
4.6508 3.7428 -0.2540
-0.1365 -0.0481 5.1889
Br Co Sr
2 1 1
direct
0.9720 0.9720 0.2105
0.7223 0.7223 0.6987
0.5572 0.5572 0.3918
0.2485 0.2485 0.1990
```

Computed properties:
Magnetic moment, μB per cell: 1.00
V, Å³/cell: 116



## B
Material: SrCoBr2
Method: DFT, GGA-PBE
State: optimized geometry

The structure in POSCAR format:
```
SrCoBr2
1.0
4.0241 0.0000 0.0000
0.0000 5.2072 -0.2344
0.0000 0.8512 5.0741
Br Co Sr
2 1 1
direct
0.0000 0.0462 0.0479
0.0000 0.4538 0.4521
0.5000 0.2500 0.2500
0.5000 0.7500 0.7500
```

Computed properties:
Magnetic moment, μB per cell: 1.04
V, Å³/cell: 107



Which one sits at the top of the stability order? A does.